Material: NiHgPd2N
Method: DFT, PBE
State: optimized geometry

SG = P4/mmm (123)
VASP energy = -4.8671 eV/atom
E_form (uncorrected) = 92 meV/atom

abc: 4.3694 4.3694 3.6668
angles: 90.00 90.00 90.00
Closest atoms and distances in Å follow each position.
Fractional positions:
Ni (0.0000, 0.0000, 0.0000)  2 N 1.83
Hg (0.5000, 0.5000, 0.0000)  8 Pd 2.85, 4 Ni 3.09
Pd (0.0000, 0.5000, 0.5000)  2 N 2.18
Pd (0.5000, 0.0000, 0.5000)  2 N 2.18
N (0.0000, 0.0000, 0.5000)  2 Ni 1.83

=====

Material: Pr2NiHgN
Method: DFT, PBE
State: optimized geometry

SG = P2_1/m (11)
VASP energy = -5.4129 eV/atom
E_form (uncorrected) = -619 meV/atom

abc: 7.1202 3.8943 8.6000
angles: 90.00 114.30 90.00
Closest atoms and distances in Å follow each position.
Fractional positions:
Pr (0.1718, 0.2500, 0.3864)  2 N 2.56
Pr (0.2242, 0.7500, 0.0170)  3 N 2.42-2.68
Pr (0.7758, 0.2500, 0.9830)  3 N 2.42-2.68
Pr (0.8282, 0.7500, 0.6136)  2 N 2.56
Ni (0.1952, 0.2500, 0.7431)  1 N 1.88
Ni (0.8048, 0.7500, 0.2569)  1 N 1.88
Hg (0.4268, 0.7500, 0.7139)  2 Ni 2.63
Hg (0.5732, 0.2500, 0.2861)  2 Ni 2.63
N (0.0166, 0.7500, 0.1795)  1 Ni 1.88
N (0.9834, 0.2500, 0.8205)  1 Ni 1.88

=====

Material: Rb2NiHgN
Method: DFT, PBE
State: optimized geometry

SG = P4/mmm (123)
VASP energy = -3.2843 eV/atom
E_form (uncorrected) = -16 meV/atom

abc: 6.3390 6.3390 3.4923
angles: 90.00 90.00 90.00
Closest atoms and distances in Å follow each position.
Fractional positions:
Rb (0.0000, 0.5000, 0.0000)  2 N 3.17, 2 Rb 3.49
Rb (0.5000, 0.0000, 0.0000)  2 N 3.17, 2 Rb 3.49
Ni (0.0000, 0.0000, 0.5000)  2 N 1.75
Hg (0.5000, 0.5000, 0.5000)  2 Hg 3.49, 8 Rb 3.62
N (0.0000, 0.0000, 0.0000)  2 Ni 1.75

=====

Material: Ni2HgRuN
Method: DFT, PBE
State: optimized geometry

SG = P4/mmm (123)
VASP energy = -5.7467 eV/atom
E_form (uncorrected) = 146 meV/atom

abc: 3.9854 3.9854 3.9435
angles: 90.00 90.00 90.00
Closest atoms and distances in Å follow each position.
Fractional positions:
Ni (0.0000, 0.5000, 0.0000)  2 N 1.99
Ni (0.5000, 0.0000, 0.0000)  2 N 1.99
Hg (0.0000, 0.0000, 0.5000)  8 Ni 2.80, 4 Ru 2.82
Ru (0.5000, 0.5000, 0.5000)  2 N 1.97
N (0.5000, 0.5000, 0.0000)  2 Ru 1.97, 4 Ni 1.99

=====

Material: NiHgS2N
Method: DFT, PBE
State: optimized geometry

Energy above the most stable polymorph in this dataset = 1.179 eV per atom
SG = P4/mmm (123)
VASP energy = -2.6937 eV/atom
E_form (uncorrected) = 1839 meV/atom

abc: 5.0947 5.0947 3.9592
angles: 90.00 90.00 90.00
Closest atoms and distances in Å follow each position.
Fractional positions:
Ni (0.0000, 0.0000, 0.0000)  8 S 3.23, 4 N 3.60
Hg (0.5000, 0.5000, 0.5000)  2 N 1.98
S (0.0000, 0.5000, 0.5000)  2 Hg 2.55
S (0.5000, 0.0000, 0.5000)  2 Hg 2.55
N (0.5000, 0.5000, 0.0000)  2 Hg 1.98

=====

Material: NiHgS2N
Method: DFT, PBE
State: optimized geometry

Energy above the most stable polymorph in this dataset = 0.000 eV per atom
SG = P4/mmm (123)
VASP energy = -3.8728 eV/atom
E_form (uncorrected) = 660 meV/atom

abc: 4.8785 4.8785 3.4266
angles: 90.00 90.00 90.00
Closest atoms and distances in Å follow each position.
Fractional positions:
Ni (0.0000, 0.0000, 0.0000)  2 N 1.71
Hg (0.5000, 0.5000, 0.5000)  8 S 2.98
S (0.0000, 0.5000, 0.0000)  2 Ni 2.44
S (0.5000, 0.0000, 0.0000)  2 Ni 2.44
N (0.0000, 0.0000, 0.5000)  2 Ni 1.71

=====

Material: ScNi2HgN
Method: DFT, PBE
State: optimized geometry

SG = P4/mmm (123)
VASP energy = -3.4301 eV/atom
E_form (uncorrected) = 1874 meV/atom

abc: 4.6041 4.6041 5.3247
angles: 90.00 90.00 90.00
Closest atoms and distances in Å follow each position.
Fractional positions:
Sc (0.0000, 0.0000, 0.0000)  2 Hg 2.66
Ni (0.0000, 0.5000, 0.5000)  2 Hg 2.30
Ni (0.5000, 0.0000, 0.5000)  2 Hg 2.30
Hg (0.0000, 0.0000, 0.5000)  4 Ni 2.30
N (0.5000, 0.5000, 0.0000)  4 Sc 3.26, 8 Ni 3.52

=====

Material: NiHgSe2N
Method: DFT, PBE
State: optimized geometry

Energy above the most stable polymorph in this dataset = 1.095 eV per atom
SG = P4/mmm (123)
VASP energy = -2.6647 eV/atom
E_form (uncorrected) = 1611 meV/atom

abc: 5.3585 5.3585 4.0703
angles: 90.00 90.00 90.00
Closest atoms and distances in Å follow each position.
Fractional positions:
Ni (0.0000, 0.0000, 0.0000)  8 Se 3.36
Hg (0.5000, 0.5000, 0.5000)  2 N 2.04
Se (0.0000, 0.5000, 0.5000)  2 Hg 2.68
Se (0.5000, 0.0000, 0.5000)  2 Hg 2.68
N (0.5000, 0.5000, 0.0000)  2 Hg 2.04

=====

Number 1: V 14.00 A^3/atom. Number 2: V 21.73 A^3/atom. Number 3: V 28.07 A^3/atom. Number 4: V 12.53 A^3/atom. Number 5: V 20.55 A^3/atom. Number 6: V 16.31 A^3/atom. Number 7: V 22.57 A^3/atom. Number 8: V 23.37 A^3/atom.